Record 1
Computed, not measured: a geometry-optimized GdEr2Lu structure at the PBE level of DFT.

As for the total magnetization: 0.30 μB/cell. As for the final energy: -4.572 eV/atom.

The structure belongs to space group Ama2 (No. 40); the cell edges are 5.571, 12.340 and 7.125 Å and the angles 90.00°, 90.00° and 90.00°. The inequivalent atoms are Gd at (0.250, 0.167, 0.000), Er at (0.250, 0.166, 0.500), Er at (0.250, 0.417, 0.751) and Lu at (0.250, 0.417, 0.249).

=====

Record 2
Computed, not measured: a geometry-optimized Gd2Er3LuTe2Os structure at the PBE level of DFT.

As for the total magnetization: 0.01 μB/cell. As for the final energy: -5.699 eV/atom.

The structure belongs to space group Amm2 (No. 38); the cell edges are 4.042, 14.139 and 8.394 Å and the angles 90.00°, 90.00° and 90.00°. The inequivalent atoms are Gd at (0.000, 0.119, 0.000), Er at (0.500, 0.000, 0.275), Er at (0.500, 0.192, 0.686), Lu at (0.000, 0.000, 0.635), Te at (0.000, 0.165, 0.379) and Os at (0.500, 0.000, 0.856).

=====

Record 3
Computed, not measured: a geometry-optimized Gd2ErMg structure at the PBE level of DFT.

The value obtained for the excess energy over the best structure of this formula in the dataset is 0.015 eV per atom. As for the total magnetization: 0.05 μB/cell. As for the final energy: -3.832 eV/atom.

The structure belongs to space group Ama2 (No. 40); the cell edges are 5.577, 12.018 and 7.098 Å and the angles 90.00°, 90.00° and 90.00°. The inequivalent atoms are Gd at (0.250, 0.082, 0.000), Gd at (0.250, 0.338, 0.753), Er at (0.250, 0.336, 0.254) and Mg at (0.250, 0.089, 0.506).

=====

Record 4
Computed, not measured: a geometry-optimized Gd2ErMg structure at the PBE level of DFT.

The value obtained for the excess energy over the best structure of this formula in the dataset is 0.000 eV per atom. As for the total magnetization: 0.07 μB/cell. As for the final energy: -3.847 eV/atom.

The structure belongs to space group Cmcm (No. 63); the cell edges are 7.055, 12.163 and 5.541 Å and the angles 90.00°, 90.00° and 90.00°. The inequivalent atoms are Gd at (0.243, 0.086, 0.250), Er at (0.000, 0.331, 0.250) and Mg at (0.000, 0.168, 0.750).

=====

Record 5
Computed, not measured: a geometry-optimized Gd5Er2Mg structure at the PBE level of DFT.

As for the total magnetization: 0.80 μB/cell. As for the final energy: -4.219 eV/atom.

The structure belongs to space group Amm2 (No. 38); the cell edges are 5.644, 7.146 and 12.338 Å and the angles 90.00°, 90.00° and 90.00°. The inequivalent atoms are Gd at (0.000, 0.000, 0.000), Gd at (0.000, 0.250, 0.251), Gd at (0.500, 0.245, 0.083), Er at (0.000, 0.000, 0.502), Er at (0.500, 0.000, 0.837) and Mg at (0.500, 0.000, 0.335).

=====

Record 6
Computed, not measured: a geometry-optimized Gd2ErMg structure at the PBE level of DFT.

The value obtained for the excess energy over the best structure of this formula in the dataset is 0.034 eV per atom. As for the total magnetization: 0.22 μB/cell. As for the final energy: -3.814 eV/atom.

The structure belongs to space group Amm2 (No. 38); the cell edges are 5.606, 7.124 and 11.966 Å and the angles 90.00°, 90.00° and 90.00°. The inequivalent atoms are Gd at (0.000, 0.000, 0.000), Gd at (0.000, 0.250, 0.252), Gd at (0.500, 0.000, 0.676), Er at (0.000, 0.000, 0.502), Er at (0.500, 0.000, 0.178) and Mg at (0.500, 0.246, 0.423).

=====

Record 7
Computed, not measured: a geometry-optimized GdEr2Mg3Pd2Pt structure at the PBE level of DFT.

As for the total magnetization: 0.03 μB/cell. As for the final energy: -4.653 eV/atom.

The structure belongs to space group Amm2 (No. 38); the cell edges are 4.103, 12.746 and 7.372 Å and the angles 90.00°, 90.00° and 90.00°. The inequivalent atoms are Gd at (0.000, 0.000, 0.000), Er at (0.000, 0.203, 0.612), Mg at (0.500, 0.000, 0.653), Mg at (0.500, 0.123, 0.287), Pd at (0.500, 0.169, 0.908) and Pt at (0.000, 0.000, 0.412).

=====

Record 8
Computed, not measured: a geometry-optimized GdEr2Mg4Tl2 structure at the PBE level of DFT.

As for the total magnetization: 0.00 μB/cell. As for the final energy: -2.975 eV/atom.

The structure belongs to space group Amm2 (No. 38); the cell edges are 4.635, 13.153 and 7.540 Å and the angles 90.00°, 90.00° and 90.00°. The inequivalent atoms are Gd at (0.000, 0.000, 0.000), Er at (0.000, 0.218, 0.652), Mg at (0.000, 0.000, 0.439), Mg at (0.500, 0.000, 0.678), Mg at (0.500, 0.121, 0.314) and Tl at (0.500, 0.168, 0.934).

=====

Record 9
Computed, not measured: a geometry-optimized GdErSi2Mo2N structure at the PBE level of DFT.

As for the total magnetization: 0.00 μB/cell. As for the final energy: -7.951 eV/atom.

The structure belongs to space group Cm (No. 8); the cell edges are 11.182, 3.727 and 7.141 Å and the angles 90.00°, 125.83° and 90.00°. The inequivalent atoms are Gd at (0.000, 0.000, 0.000), Er at (0.148, 0.000, 0.591), Si at (0.206, 0.500, 0.958), Si at (0.442, 0.000, 0.632), Mo at (0.278, 0.500, 0.381), Mo at (0.371, 0.000, 0.213) and N at (0.076, 0.500, 0.302).

=====

Record 10
Computed, not measured: a geometry-optimized Gd2ErN3 structure at the PBE level of DFT.

As for the total magnetization: 0.00 μB/cell. As for the final energy: -8.140 eV/atom.

The structure belongs to space group P-3m1 (No. 164); the cell edges are 3.4771, 3.4771 and 8.5098 Å and the angles 90.00°, 90.00° and 120.00°. The inequivalent atoms are Gd at (0.3333, 0.6667, 0.3309), Er at (0.0000, 0.0000, 0.0000), N at (0.0000, 0.0000, 0.5000) and N at (0.3333, 0.6667, 0.8384).